# 1
Here is an optimized crystal structure of MgScAl4Cu2 from OQMD. Energies are from PBE-GGA.

Cell: 5.7317 7.7416 7.7416 Å, 34.95 90.00 90.00°
Sites, in units of the cell vectors:
Mg  0.0000  0.0000  0.0000
Sc  0.0000  0.2095  0.2095
Al  0.2632  0.5421  0.5421
Al  0.2843  0.7185  0.7185
Al  0.7157  0.7185  0.7185
Al  0.7368  0.5421  0.5421
Cu  0.0000  0.4048  0.4048
Cu  0.0000  0.8313  0.8313

Computed properties:
volume = 196.8 Å³ per cell
calculated density = 2.6 Mg/m³
raw total energy = -26.75 eV per cell

---

# 2
Here is an optimized crystal structure of Cs2TePdSe2 from OQMD. Energies are from PBE-GGA.

Cell: 7.5474 7.5474 9.6747 Å, 107.15 107.15 58.62°
Sites, in units of the cell vectors:
Cs  0.0765  0.0765  0.3539
Cs  0.2819  0.2819  0.1312
Cs  0.7181  0.7181  0.8688
Cs  0.9235  0.9235  0.6461
Te  0.4107  0.4107  0.5570
Te  0.5893  0.5893  0.4430
Pd  0.4246  0.4246  0.8481
Pd  0.5754  0.5754  0.1519
Se  0.2286  0.2286  0.7355
Se  0.2358  0.7642  0.0000
Se  0.7642  0.2358  0.0000
Se  0.7714  0.7714  0.2645

Computed properties:
volume = 442.8 Å³ per cell
calculated density = 4.9 Mg/m³
raw total energy = -41.42 eV per cell

---

What did the first record say?
Here is an optimized crystal structure of MgScAl4Cu2 from OQMD. Energies are from PBE-GGA.

Cell: 5.7317 7.7416 7.7416 Å, 34.95 90.00 90.00°
Sites, in units of the cell vectors:
Mg  0.0000  0.0000  0.0000
Sc  0.0000  0.2095  0.2095
Al  0.2632  0.5421  0.5421
Al  0.2843  0.7185  0.7185
Al  0.7157  0.7185  0.7185
Al  0.7368  0.5421  0.5421
Cu  0.0000  0.4048  0.4048
Cu  0.0000  0.8313  0.8313

Computed properties:
volume = 196.8 Å³ per cell
calculated density = 2.6 Mg/m³
raw total energy = -26.75 eV per cell

---

What is the calculated density in the second record?
4.9 Mg/m³

---

Among the records above, which one has the highest calculated density?
Cs2TePdSe2